A relaxed structure of Cd3AuC, computed with PBE.

Computed properties:
N(E_F) ... 3.1 states/eV per cell
DFT total energy ... -8.35 eV for the cell shown
Symmetry ... Pm-3m (221)
Formation energy from the elements ... 1379 meV/atom

a = 5.310 Å, b = 5.310 Å, c = 5.310 Å
α = 90.00°, β = 90.00°, γ = 90.00°
Atoms (fractional coordinates):
Cd1 0.000 0.000 0.500
Cd2 0.000 0.500 0.000
Cd3 0.500 0.000 0.000
Au1 0.000 0.000 0.000
C1 0.500 0.500 0.500